VASP calculation (PBE) on a relaxed GdPaGe4 crystal.

Computed properties:
As for the symmetry: F-43m (216). Its formation energy from the elements is -209 meV per atom. The density of states at the Fermi level is 6.1 states/eV per cell.

Cell: 5.580 5.580 5.580 Å, 60.00 60.00 60.00°
Site moments in Bohr magnetons follow the coordinates.
Fractional positions:
1 Pa 0.250 0.250 0.250  0.51
2 Gd 0.000 0.000 0.000  7.10
3 Ge 0.625 0.625 0.625  -0.02
4 Ge 0.625 0.625 0.124  -0.02
5 Ge 0.124 0.625 0.625  -0.02
6 Ge 0.625 0.124 0.625  -0.02



VASP calculation (PBE) on a relaxed Ta2AlCd crystal.

Computed properties:
The relative energy among the computed polymorphs comes out at 0.3529 eV per atom. As for the symmetry: F-43m (216). Its formation energy from the elements is 376 meV per atom. The density of states at the Fermi level is 5.8 states/eV per cell.

Cell: 4.697 4.697 4.697 Å, 60.00 60.00 60.00°
Fractional positions:
1 Cd 0.750 0.750 0.750
2 Al 0.500 0.500 0.500
3 Ta 0.250 0.250 0.250
4 Ta 0.000 0.000 0.000



VASP calculation (PBE) on a relaxed Ca3Sm12Cd5 crystal.

Computed properties:
As for the symmetry: Ia-3d (230). Its formation energy from the elements is 567 meV per atom. The density of states at the Fermi level is 144.2 states/eV per cell.

Cell: 16.158 16.158 16.158 Å, 109.47 109.47 109.47°
Fractional positions:
1 Sm 0.120 0.407 0.073
2 Sm 0.380 0.427 0.093
3 Sm 0.407 0.287 0.333
4 Sm 0.073 0.907 0.120
5 Sm 0.093 0.167 0.213
6 Sm 0.927 0.833 0.546
7 Sm 0.546 0.213 0.120
8 Sm 0.427 0.046 0.333
9 Sm 0.667 0.454 0.573
10 Sm 0.620 0.046 0.213
11 Sm 0.787 0.333 0.907
12 Sm 0.833 0.907 0.287
13 Sm 0.880 0.593 0.927
14 Sm 0.073 0.167 0.454
15 Sm 0.167 0.073 0.954
16 Sm 0.333 0.546 0.427
17 Sm 0.120 0.713 0.546
18 Sm 0.167 0.093 0.713
19 Sm 0.573 0.620 0.407
20 Sm 0.287 0.880 0.954
21 Sm 0.833 0.927 0.046
22 Sm 0.333 0.787 0.407
23 Sm 0.954 0.380 0.287
24 Sm 0.573 0.954 0.667
25 Sm 0.593 0.880 0.427
26 Sm 0.907 0.073 0.620
27 Sm 0.046 0.427 0.833
28 Sm 0.093 0.927 0.380
29 Sm 0.927 0.093 0.880
30 Sm 0.880 0.287 0.454
31 Sm 0.620 0.573 0.907
32 Sm 0.713 0.120 0.046
33 Sm 0.213 0.667 0.093
34 Sm 0.954 0.573 0.167
35 Sm 0.593 0.713 0.667
36 Sm 0.287 0.407 0.833
37 Sm 0.667 0.213 0.593
38 Sm 0.427 0.380 0.593
39 Sm 0.907 0.833 0.787
40 Sm 0.380 0.954 0.787
41 Sm 0.407 0.120 0.573
42 Sm 0.787 0.454 0.380
43 Sm 0.546 0.333 0.927
44 Sm 0.454 0.667 0.073
45 Sm 0.213 0.546 0.620
46 Sm 0.046 0.620 0.713
47 Sm 0.713 0.593 0.167
48 Sm 0.454 0.787 0.880
49 Cd 0.625 0.750 0.875
50 Cd 0.875 0.250 0.625
51 Cd 0.500 0.000 0.000
52 Cd 0.125 0.750 0.375
53 Cd 0.125 0.375 0.250
54 Cd 0.875 0.625 0.750
55 Cd 0.500 0.500 0.500
56 Cd 0.500 0.500 0.000
57 Cd 0.250 0.875 0.125
58 Cd 0.750 0.625 0.375
59 Cd 0.250 0.375 0.625
60 Cd 0.375 0.250 0.125
61 Cd 0.000 0.000 0.500
62 Cd 0.000 0.000 0.000
63 Cd 0.625 0.875 0.250
64 Cd 0.000 0.500 0.000
65 Cd 0.000 0.500 0.500
66 Cd 0.750 0.125 0.875
67 Cd 0.375 0.125 0.750
68 Cd 0.500 0.000 0.500
69 Ca 0.625 0.250 0.375
70 Ca 0.250 0.125 0.375
71 Ca 0.375 0.750 0.625
72 Ca 0.125 0.250 0.875
73 Ca 0.250 0.625 0.875
74 Ca 0.625 0.375 0.750
75 Ca 0.750 0.875 0.625
76 Ca 0.875 0.125 0.250
77 Ca 0.875 0.750 0.125
78 Ca 0.750 0.375 0.125
79 Ca 0.125 0.875 0.750
80 Ca 0.375 0.625 0.250



VASP calculation (PBE) on a relaxed NaAlSb3 crystal.

Computed properties:
The relative energy among the computed polymorphs comes out at 0.0000 eV per atom. As for the symmetry: Pm-3m (221). For the uncorrected formation energy, the calculation gives 0.26 eV per atom. The density of states at the Fermi level is 3.8 states/eV per cell.

Cell: 5.388 5.388 5.388 Å, 90.00 90.00 90.00°
Fractional positions:
1 Na 0.500 0.500 0.500
2 Al 0.000 0.000 0.000
3 Sb 0.000 0.500 0.000
4 Sb 0.500 0.000 0.000
5 Sb 0.000 0.000 0.500



VASP calculation (PBE) on a relaxed BaSn2Te4Pb crystal.

Computed properties:
As for the symmetry: P2/m (10). For the uncorrected formation energy, the calculation gives -0.65 eV per atom.

Cell: 4.671 8.156 8.103 Å, 70.75 90.00 90.00°
Fractional positions:
1 Te 0.000 0.770 0.736
2 Te 0.500 0.764 0.253
3 Te 0.000 0.230 0.264
4 Te 0.500 0.236 0.747
5 Ba 0.500 0.500 0.000
6 Sn 0.000 0.000 0.000
7 Sn 0.500 0.000 0.500
8 Pb 0.000 0.500 0.500



VASP calculation (PBE) on a relaxed Rb8Br4Cl3F crystal.

Computed properties:
As for the symmetry: C2/m (12). For the uncorrected formation energy, the calculation gives -1.91 eV per atom. The density of states at the Fermi level is 0.0 states/eV per cell.

Cell: 9.512 9.581 9.523 Å, 119.78 119.96 90.00°
Site moments in Bohr magnetons follow the coordinates.
Fractional positions:
1 Rb 0.746 0.738 0.492  0.00
2 Rb 0.763 0.271 0.527  0.00
3 Rb 0.765 0.273 0.008  0.00
4 Rb 0.758 0.727 0.992  0.00
5 Rb 0.254 0.262 0.508  0.00
6 Rb 0.235 0.727 0.992  0.00
7 Rb 0.242 0.273 0.008  0.00
8 Rb 0.237 0.729 0.473  0.00
9 Br 0.500 0.000 0.000  0.10
10 Br 0.000 0.000 0.000  0.01
11 Br 0.500 0.000 0.500  0.01
12 Br 0.000 0.000 0.500  0.01
13 F 0.000 0.500 0.000  0.00
14 Cl 0.000 0.500 0.500  0.00
15 Cl 0.500 0.500 0.000  0.00
16 Cl 0.500 0.500 0.500  0.00



no.,spin magnetization (μB per formula unit)
1,7.82
2,0.01
3,0.00
4,0.00
5,0.00
6,0.19